(1)
Computed, not measured: crystalline In5I3Br2 at its relaxed geometry at the PBE level of DFT.

Unit cell a=8.443 b=8.443 c=11.816 alpha=117.95 beta=117.95 gamma=33.53
Atoms (fractional coordinates):
In (0.000, 0.000, 0.000)
In (0.196, 0.196, 0.815)
In (0.404, 0.404, 0.611)
In (0.596, 0.596, 0.389)
In (0.804, 0.804, 0.185)
I (0.000, 0.000, 0.500)
I (0.210, 0.210, 0.300)
I (0.790, 0.790, 0.700)
Br (0.404, 0.404, 0.094)
Br (0.596, 0.596, 0.906)

## Properties
Space group ... C2/m, No. 12
E ... -26.97 eV for the cell shown

---

(2)
Computed, not measured: crystalline Pt2SeCl at its relaxed geometry at the PBE level of DFT.

Unit cell a=3.403 b=3.403 c=7.060 alpha=90.00 beta=90.00 gamma=90.00
Atoms (fractional coordinates):
Pt (0.000, 0.000, 0.000)
Pt (0.500, 0.500, 0.212)
Se (0.000, 0.000, 0.346)
Cl (0.500, 0.500, 0.774)

## Properties
Space group ... P4mm, No. 99
E above lowest polymorph ... 346 meV/atom
Density of states at the Fermi level ... 2.320 states/eV per cell

---

(3)
Computed, not measured: crystalline Pm2Ga4Ni3Hg at its relaxed geometry at the PBE level of DFT.

Unit cell a=4.187 b=4.187 c=10.405 alpha=90.00 beta=90.00 gamma=90.00
Atoms (fractional coordinates):
Pm (0.000, 0.500, 0.233)
Pm (0.500, 0.000, 0.767)
Ga (0.000, 0.000, 0.000)
Ga (0.000, 0.500, 0.653)
Ga (0.500, 0.000, 0.347)
Ga (0.500, 0.500, 0.000)
Ni (0.000, 0.500, 0.878)
Ni (0.500, 0.000, 0.122)
Ni (0.500, 0.500, 0.500)
Hg (0.000, 0.000, 0.500)

## Properties
Space group ... P-4m2, No. 115
E ... -44.20 eV for the cell shown
Density of states at the Fermi level ... 6.751 states/eV per cell

---

(4)
Computed, not measured: crystalline PrSmSc2S4 at its relaxed geometry at the PBE level of DFT.

Unit cell a=6.642 b=3.812 c=6.867 alpha=90.00 beta=108.68 gamma=90.00
Atoms (fractional coordinates):
Pr (0.000, 0.000, 0.000)
Sm (0.500, 0.500, 0.000)
Sc (0.000, 0.500, 0.500)
Sc (0.500, 0.000, 0.500)
S (0.244, 0.000, 0.721)
S (0.264, 0.500, 0.282)
S (0.736, 0.500, 0.718)
S (0.756, 0.000, 0.279)

## Properties
Space group ... P2/m, No. 10
E ... -54.07 eV for the cell shown
Density of states at the Fermi level ... 4.095 states/eV per cell

---

(5)
Computed, not measured: crystalline Ca2LaCl at its relaxed geometry at the PBE level of DFT.

Unit cell a=3.607 b=3.607 c=10.018 alpha=90.00 beta=90.00 gamma=90.00
Atoms (fractional coordinates):
Ca (0.000, 0.000, 0.213)
Ca (0.000, 0.000, 0.787)
La (0.500, 0.500, 0.500)
Cl (0.500, 0.500, 0.000)

## Properties
Space group ... P4/mmm, No. 123
E above lowest polymorph ... 132 meV/atom
Density of states at the Fermi level ... 4.519 states/eV per cell

---

(6)
Computed, not measured: crystalline Tm3Cd2In3 at its relaxed geometry at the PBE level of DFT.

Unit cell a=6.117 b=6.117 c=15.313 alpha=90.00 beta=90.00 gamma=134.73
Atoms (fractional coordinates):
Tm (0.076, 0.924, 0.613)
Tm (0.076, 0.924, 0.887)
Tm (0.337, 0.663, 0.750)
Tm (0.663, 0.337, 0.250)
Tm (0.924, 0.076, 0.113)
Tm (0.924, 0.076, 0.387)
Cd (0.218, 0.782, 0.107)
Cd (0.218, 0.782, 0.393)
Cd (0.782, 0.218, 0.607)
Cd (0.782, 0.218, 0.893)
In (0.384, 0.616, 0.250)
In (0.390, 0.610, 0.545)
In (0.390, 0.610, 0.955)
In (0.610, 0.390, 0.045)
In (0.610, 0.390, 0.455)
In (0.616, 0.384, 0.750)

## Properties
Space group ... Cmcm, No. 63
E above lowest polymorph ... 0 meV/atom
Density of states at the Fermi level ... 11.244 states/eV per cell

---

| no. | calculated volume (Å³ per atom) |
| --- | --- |
| 1 | 40.58 |
| 2 | 20.44 |
| 3 | 18.25 |
| 4 | 20.59 |
| 5 | 32.59 |
| 6 | 25.44 |